Record 1
VASP calculation (PBE) on crystalline KZr2Cl at its relaxed geometry.

a b c (Å): 5.635 13.410 3.111
angles (deg): 90.00 90.00 90.00
Space group Cmmm (No. 65)
Unique sites:
K  0.000  0.000  0.000 (multiplicity 2)
Zr  0.250  0.250  0.500 (multiplicity 4)
Cl  0.000  0.500  0.000 (multiplicity 2)

Summary:
* energy above the most stable polymorph in this dataset: 891 meV per atom
* uncorrected formation energy: 424 meV/atom
* magnetization: 0.00 μB/f.u.

***

Record 2
VASP calculation (PBE) on crystalline KZrCl2 at its relaxed geometry.

a b c (Å): 3.320 6.767 9.310
angles (deg): 90.00 90.00 90.00
Space group Cmmm (No. 65)
Unique sites:
K  0.000  0.000  0.000 (multiplicity 2)
Zr  0.000  0.000  0.500 (multiplicity 2)
Cl  0.000  0.500  0.276 (multiplicity 4)

Summary:
* energy above the most stable polymorph in this dataset: 141 meV per atom
* uncorrected formation energy: -977 meV/atom
* magnetization: 0.00 μB/f.u.

***

Record 3
VASP calculation (PBE) on crystalline KZrCl2 at its relaxed geometry.

a b c (Å): 14.559 3.350 4.377
angles (deg): 90.00 90.87 90.00
Space group Cm (No. 8)
Unique sites:
K  0.000  0.000  0.000 (multiplicity 2)
Zr  0.264  0.000  0.512 (multiplicity 2)
Cl  0.110  0.500  0.505 (multiplicity 2)
Cl  0.288  0.500  0.013 (multiplicity 2)

Summary:
* energy above the most stable polymorph in this dataset: 251 meV per atom
* uncorrected formation energy: -867 meV/atom
* magnetization: 2.15 μB/f.u.

***

Record 4
VASP calculation (PBE) on crystalline KZrCl3 at its relaxed geometry.

a b c (Å): 5.458 5.458 5.458
angles (deg): 90.00 90.00 90.00
Space group Pm-3m (No. 221)
Unique sites:
K  0.000  0.000  0.000 (multiplicity 1)
Zr  0.500  0.500  0.500 (multiplicity 1)
Cl  0.000  0.000  0.500 (multiplicity 3)

Summary:
* uncorrected formation energy: -313 meV/atom
* magnetization: 2.00 μB/f.u.

***

Record 5
VASP calculation (PBE) on crystalline KZr2Cl at its relaxed geometry.

a b c (Å): 3.2202 3.2202 33.8967
angles (deg): 90.00 90.00 120.00
Space group R-3m (No. 166, hexagonal axes)
Unique sites:
K  0.0000  0.0000  0.0000 (multiplicity 3)
Zr  0.0000  0.0000  0.2314 (multiplicity 6)
Cl  0.0000  0.0000  0.5000 (multiplicity 3)

Summary:
* energy above the most stable polymorph in this dataset: 574 meV per atom
* uncorrected formation energy: 107 meV/atom
* magnetization: 0.01 μB/f.u.

***

Record 6
VASP calculation (PBE) on crystalline K2Zr3Cl9 at its relaxed geometry.

a b c (Å): 10.395 17.488 9.974
angles (deg): 90.00 114.56 90.00
Space group C2/m (No. 12)
Unique sites:
K  0.105  0.162  0.324 (multiplicity 8)
Zr  0.140  0.500  0.866 (multiplicity 4)
Zr  0.142  0.405  0.153 (multiplicity 8)
Cl  0.000  0.291  0.000 (multiplicity 4)
Cl  0.007  0.397  0.315 (multiplicity 8)
Cl  0.185  0.000  0.666 (multiplicity 4)
Cl  0.190  0.104  0.976 (multiplicity 8)
Cl  0.194  0.200  0.667 (multiplicity 8)
Cl  0.206  0.000  0.281 (multiplicity 4)

Summary:
* uncorrected formation energy: -1752 meV/atom
* magnetization: 2.00 μB/f.u.

***

Record 7
VASP calculation (PBE) on crystalline KZr2Cl at its relaxed geometry.

a b c (Å): 4.095 4.095 15.062
angles (deg): 90.00 90.00 90.00
Space group I4/mmm (No. 139)
Unique sites:
K  0.000  0.000  0.000 (multiplicity 2)
Zr  0.000  0.500  0.250 (multiplicity 4)
Cl  0.000  0.000  0.500 (multiplicity 2)

Summary:
* energy above the most stable polymorph in this dataset: 645 meV per atom
* uncorrected formation energy: 178 meV/atom
* magnetization: 0.01 μB/f.u.

***

Record 8
VASP calculation (PBE) on crystalline K3ZrCl8 at its relaxed geometry.

a b c (Å): 7.765 7.765 12.482
angles (deg): 90.00 90.00 90.00
Space group I-42m (No. 121)
Unique sites:
K  0.000  0.000  0.000 (multiplicity 2)
K  0.000  0.500  0.250 (multiplicity 4)
Zr  0.000  0.000  0.500 (multiplicity 2)
Cl  0.138  0.138  0.678 (multiplicity 8)
Cl  0.226  0.226  0.443 (multiplicity 8)

Summary:
* uncorrected formation energy: -1625 meV/atom
* magnetization: 1.12 μB/f.u.

***

Record 9
VASP calculation (PBE) on crystalline K2Zr3Cl10 at its relaxed geometry.

a b c (Å): 23.144 7.346 10.321
angles (deg): 90.00 110.76 90.00
Space group C2/m (No. 12)
Unique sites:
K  0.126  0.000  0.225 (multiplicity 4)
K  0.223  0.000  0.857 (multiplicity 4)
Zr  0.000  0.289  0.500 (multiplicity 4)
Zr  0.070  0.500  0.993 (multiplicity 4)
Zr  0.172  0.500  0.523 (multiplicity 4)
Cl  0.000  0.229  0.000 (multiplicity 4)
Cl  0.014  0.000  0.673 (multiplicity 4)
Cl  0.027  0.500  0.716 (multiplicity 4)
Cl  0.114  0.218  0.544 (multiplicity 8)
Cl  0.118  0.500  0.259 (multiplicity 4)
Cl  0.149  0.261  0.994 (multiplicity 8)
Cl  0.228  0.500  0.775 (multiplicity 4)
Cl  0.250  0.250  0.500 (multiplicity 4)

Summary:
* uncorrected formation energy: -1676 meV/atom
* magnetization: 2.04 μB/f.u.

***

Record 10
VASP calculation (PBE) on crystalline K3ZrCl at its relaxed geometry.

a b c (Å): 6.787 6.787 6.787
angles (deg): 90.00 90.00 90.00
Space group Pm-3m (No. 221)
Unique sites:
K  0.000  0.000  0.500 (multiplicity 3)
Zr  0.000  0.000  0.000 (multiplicity 1)
Cl  0.500  0.500  0.500 (multiplicity 1)

Summary:
* energy above the most stable polymorph in this dataset: 492 meV per atom
* uncorrected formation energy: 588 meV/atom
* magnetization: 4.00 μB/f.u.

***

Record 11
VASP calculation (PBE) on crystalline KZrCl2 at its relaxed geometry.

a b c (Å): 3.5594 3.5594 30.6159
angles (deg): 90.00 90.00 120.00
Space group R3m (No. 160, hexagonal axes)
Unique sites:
K  0.0000  0.0000  0.0000 (multiplicity 3)
Zr  0.0000  0.0000  0.2088 (multiplicity 3)
Cl  0.0000  0.0000  0.4886 (multiplicity 3)
Cl  0.0000  0.0000  0.7292 (multiplicity 3)

Summary:
* energy above the most stable polymorph in this dataset: 377 meV per atom
* uncorrected formation energy: -742 meV/atom
* magnetization: 0.97 μB/f.u.

***

Record 12
VASP calculation (PBE) on crystalline K2ZrCl8 at its relaxed geometry.

a b c (Å): 12.805 9.034 7.600
angles (deg): 90.00 119.77 90.00
Space group C2/m (No. 12)
Unique sites:
K  0.232  0.000  0.349 (multiplicity 4)
Zr  0.000  0.500  0.000 (multiplicity 2)
Cl  0.082  0.000  0.630 (multiplicity 4)
Cl  0.086  0.306  0.269 (multiplicity 8)
Cl  0.190  0.500  0.984 (multiplicity 4)

Summary:
* uncorrected formation energy: -1562 meV/atom
* magnetization: 0.00 μB/f.u.

***

Record 13
VASP calculation (PBE) on crystalline La3Cl2 at its relaxed geometry.

a b c (Å): 7.2808 7.2808 19.7031
angles (deg): 90.00 90.00 120.00
Space group R-3c (No. 167, hexagonal axes)
Unique sites:
La  0.0000  0.3387  0.2500 (multiplicity 18)
Cl  0.0000  0.0000  0.1656 (multiplicity 12)

Summary:
* uncorrected formation energy: -1193 meV/atom
* magnetization: 0.00 μB/f.u.

***

Record 14
VASP calculation (PBE) on crystalline La5Cl at its relaxed geometry.

a b c (Å): 5.809 3.679 18.700
angles (deg): 90.00 90.00 90.00
Space group Amm2 (No. 38)
Unique sites:
La  0.000  0.000  0.000 (multiplicity 2)
La  0.000  0.000  0.308 (multiplicity 2)
La  0.500  0.000  0.178 (multiplicity 2)
La  0.500  0.000  0.523 (multiplicity 2)
La  0.500  0.000  0.858 (multiplicity 2)
Cl  0.000  0.000  0.635 (multiplicity 2)

Summary:
* energy above the most stable polymorph in this dataset: 106 meV per atom
* uncorrected formation energy: -293 meV/atom
* magnetization: 0.00 μB/f.u.

***

Record 15
VASP calculation (PBE) on crystalline La3Cl at its relaxed geometry.

a b c (Å): 5.928 5.928 3.565
angles (deg): 90.00 90.00 90.00
Space group P4/mmm (No. 123)
Unique sites:
La  0.000  0.000  0.000 (multiplicity 1)
La  0.000  0.500  0.500 (multiplicity 2)
Cl  0.500  0.500  0.000 (multiplicity 1)

Summary:
* energy above the most stable polymorph in this dataset: 296 meV per atom
* uncorrected formation energy: -439 meV/atom
* magnetization: 0.00 μB/f.u.

***

Record 16
VASP calculation (PBE) on crystalline La3Cl at its relaxed geometry.

a b c (Å): 10.1824 10.1824 4.1942
angles (deg): 90.00 90.00 120.00
Space group R-3m (No. 166, hexagonal axes)
Unique sites:
La  0.0000  0.5000  0.0000 (multiplicity 9)
Cl  0.0000  0.0000  0.0000 (multiplicity 3)

Summary:
* energy above the most stable polymorph in this dataset: 388 meV per atom
* uncorrected formation energy: -347 meV/atom
* magnetization: 0.00 μB/f.u.

***

Record 17
VASP calculation (PBE) on crystalline LaCl3 at its relaxed geometry.

a b c (Å): 3.801 5.123 13.901
angles (deg): 90.00 90.00 90.00
Space group Immm (No. 71)
Unique sites:
La  0.000  0.000  0.000 (multiplicity 2)
Cl  0.000  0.000  0.500 (multiplicity 2)
Cl  0.000  0.500  0.352 (multiplicity 4)

Summary:
* uncorrected formation energy: -2183 meV/atom
* magnetization: 0.00 μB/f.u.

***

Record 18
VASP calculation (PBE) on crystalline La5Cl at its relaxed geometry.

a b c (Å): 6.5765 6.5765 5.3925
angles (deg): 90.00 90.00 120.00
Space group P-62m (No. 189)
Unique sites:
La  0.0000  0.6963  0.0000 (multiplicity 3)
La  0.3333  0.6667  0.5000 (multiplicity 2)
Cl  0.0000  0.0000  0.5000 (multiplicity 1)

Summary:
* energy above the most stable polymorph in this dataset: 245 meV per atom
* uncorrected formation energy: -155 meV/atom
* magnetization: 0.00 μB/f.u.

***

Record 19
VASP calculation (PBE) on crystalline LaCl3 at its relaxed geometry.

a b c (Å): 3.953 6.999 9.344
angles (deg): 90.00 90.00 90.00
Space group Pmmn (No. 59, origin choice 2)
Unique sites:
La  0.250  0.250  0.207 (multiplicity 2)
Cl  0.250  0.506  0.684 (multiplicity 4)
Cl  0.250  0.750  0.015 (multiplicity 2)

Summary:
* uncorrected formation energy: -2316 meV/atom
* magnetization: 0.00 μB/f.u.

***

Record 20
VASP calculation (PBE) on crystalline La3Cl at its relaxed geometry.

a b c (Å): 3.7971 3.7971 31.1615
angles (deg): 90.00 90.00 120.00
Space group R-3m (No. 166, hexagonal axes)
Unique sites:
La  0.0000  0.0000  0.0000 (multiplicity 3)
La  0.0000  0.0000  0.2386 (multiplicity 6)
Cl  0.0000  0.0000  0.5000 (multiplicity 3)

Summary:
* energy above the most stable polymorph in this dataset: 0 meV per atom
* uncorrected formation energy: -735 meV/atom
* magnetization: 0.00 μB/f.u.

***

Record 21
VASP calculation (PBE) on crystalline La3Cl at its relaxed geometry.

a b c (Å): 3.767 9.994 6.632
angles (deg): 90.00 90.00 90.00
Space group Imm2 (No. 44)
Unique sites:
La  0.000  0.000  0.000 (multiplicity 2)
La  0.000  0.196  0.588 (multiplicity 4)
Cl  0.000  0.500  0.849 (multiplicity 2)

Summary:
* energy above the most stable polymorph in this dataset: 136 meV per atom
* uncorrected formation energy: -599 meV/atom
* magnetization: 0.00 μB/f.u.

***

Record 22
VASP calculation (PBE) on crystalline La5Cl at its relaxed geometry.

a b c (Å): 6.5235 6.5235 6.1636
angles (deg): 90.00 90.00 120.00
Space group P6/mmm (No. 191)
Unique sites:
La  0.0000  0.5000  0.0000 (multiplicity 3)
La  0.3333  0.6667  0.5000 (multiplicity 2)
Cl  0.0000  0.0000  0.5000 (multiplicity 1)

Summary:
* energy above the most stable polymorph in this dataset: 722 meV per atom
* uncorrected formation energy: 322 meV/atom
* magnetization: 0.00 μB/f.u.

***

Record 23
VASP calculation (PBE) on crystalline LaCl7 at its relaxed geometry.

a b c (Å): 8.925 8.925 8.925
angles (deg): 90.00 90.00 90.00
Space group Fm-3m (No. 225)
Unique sites:
La  0.000  0.000  0.000 (multiplicity 4)
Cl  0.000  0.000  0.500 (multiplicity 4)
Cl  0.000  0.250  0.250 (multiplicity 24)

Summary:
* uncorrected formation energy: -560 meV/atom
* magnetization: 1.13 μB/f.u.

***

Record 24
VASP calculation (PBE) on crystalline La2Cl3 at its relaxed geometry.

a b c (Å): 4.1376 4.1376 30.4597
angles (deg): 90.00 90.00 120.00
Space group R-3m (No. 166, hexagonal axes)
Unique sites:
La  0.0000  0.0000  0.1141 (multiplicity 6)
Cl  0.0000  0.0000  0.2747 (multiplicity 6)
Cl  0.0000  0.0000  0.5000 (multiplicity 3)

Summary:
* uncorrected formation energy: -1882 meV/atom
* magnetization: 0.00 μB/f.u.

***

Record 25
VASP calculation (PBE) on crystalline LaCl3 at its relaxed geometry.

a b c (Å): 5.684 5.684 5.684
angles (deg): 90.00 90.00 90.00
Space group Pm-3n (No. 223)
Unique sites:
La  0.000  0.000  0.000 (multiplicity 2)
Cl  0.000  0.250  0.500 (multiplicity 6)

Summary:
* uncorrected formation energy: -2034 meV/atom
* magnetization: 0.00 μB/f.u.